[1]
Material: Rb2CuBBr6
Method: DFT, PBE-GGA
State: optimized geometry

a = 7.4768 Å, b = 7.4768 Å, c = 11.2768 Å
α = 90.00°, β = 90.00°, γ = 90.00°
Closest atoms and distances in Å follow each position.
Space group I4/mmm (No. 139)
Unique sites:
Rb 0.0000 0.5000 0.2500  12 Br 3.78-3.89
Cu 0.0000 0.0000 0.0000  2 Br 2.29
B 0.0000 0.0000 0.5000  4 Br 2.19
Br 0.0000 0.0000 0.2029  1 Cu 2.29
Br 0.2068 0.2068 0.5000  1 B 2.19

Results
D(E_F): 0.0 states/eV per cell
Energy relative to the elements, uncorrected: -682 meV/atom
Size of the total moment: 0.00 μB per cell
Electronic total energy: -29.6 eV per formula unit

=====

[2]
Material: CuBSe2Br
Method: DFT, PBE-GGA
State: optimized geometry

a = 4.7494 Å, b = 4.7494 Å, c = 5.1010 Å
α = 90.00°, β = 90.00°, γ = 90.00°
Closest atoms and distances in Å follow each position.
Space group P4/mmm (No. 123)
Unique sites:
Cu 0.0000 0.0000 0.0000  4 Se 2.37, 2 Br 2.55
B 0.5000 0.5000 0.5000  4 Br 3.36, 8 Se 3.48
Se 0.0000 0.5000 0.0000  2 Cu 2.37
Br 0.0000 0.0000 0.5000  2 Cu 2.55

Results
ΔE to the lowest computed polymorph: 194.9 kJ/mol of formula units
D(E_F): 4.6 states/eV per cell
Energy relative to the elements, uncorrected: 1160 meV/atom
Size of the total moment: 0.00 μB per cell
Electronic total energy: -13.6 eV per formula unit

=====

[3]
Material: CuBSe2Br
Method: DFT, PBE-GGA
State: optimized geometry

a = 4.1559 Å, b = 4.1559 Å, c = 7.4573 Å
α = 90.00°, β = 90.00°, γ = 90.00°
Closest atoms and distances in Å follow each position.
Space group P4/mmm (No. 123)
Unique sites:
Cu 0.0000 0.0000 0.0000  4 Br 2.94
B 0.5000 0.5000 0.5000  4 Se 2.08
Se 0.0000 0.5000 0.5000  2 B 2.08
Br 0.5000 0.5000 0.0000  4 Cu 2.94

Results
ΔE to the lowest computed polymorph: 0.0 kJ/mol of formula units
D(E_F): 4.3 states/eV per cell
Energy relative to the elements, uncorrected: 756 meV/atom
Size of the total moment: 0.00 μB per cell
Electronic total energy: -15.6 eV per formula unit

=====

[4]
Material: CuSi2BBr
Method: DFT, PBE-GGA
State: optimized geometry

a = 3.8503 Å, b = 3.8503 Å, c = 7.5302 Å
α = 90.00°, β = 90.00°, γ = 90.00°
Closest atoms and distances in Å follow each position.
Space group P4/mmm (No. 123)
Unique sites:
Cu 0.0000 0.0000 0.0000  4 Br 2.72
Si 0.0000 0.5000 0.5000  2 B 1.93
B 0.5000 0.5000 0.5000  4 Si 1.93
Br 0.5000 0.5000 0.0000  4 Cu 2.72

Results
D(E_F): 2.7 states/eV per cell
Energy relative to the elements, uncorrected: 854 meV/atom
Size of the total moment: 0.00 μB per cell
Electronic total energy: -19.0 eV per formula unit

=====

[5]
Material: TlCuB2Br8
Method: DFT, PBE-GGA
State: optimized geometry

a = 6.3623 Å, b = 6.3623 Å, c = 28.5440 Å
α = 90.00°, β = 90.00°, γ = 120.00°
Closest atoms and distances in Å follow each position.
Space group R-3 (No. 148, hexagonal axes)
Unique sites:
Tl 0.0000 0.0000 0.0000  12 Br 3.70-3.85
Cu 0.0000 0.0000 0.5000  6 Br 2.73
B 0.0000 0.0000 0.2463  4 Br 2.03-2.04
Br 0.0000 0.0000 0.3174  1 B 2.03
Br 0.0079 0.3092 0.2241  1 B 2.04

Results
D(E_F): 0.0 states/eV per cell
Energy relative to the elements, uncorrected: -442 meV/atom
Size of the total moment: 0.32 μB per cell
Electronic total energy: -38.5 eV per formula unit

=====

[6]
Material: V2CuBBr
Method: DFT, PBE-GGA
State: optimized geometry

a = 4.1399 Å, b = 4.1399 Å, c = 4.6146 Å
α = 90.00°, β = 90.00°, γ = 90.00°
Closest atoms and distances in Å follow each position.
Space group P4/mmm (No. 123)
Unique sites:
V 0.0000 0.5000 0.0000  2 B 2.07
Cu 0.0000 0.0000 0.5000  4 Br 2.93, 8 V 3.10
B 0.5000 0.5000 0.0000  4 V 2.07, 2 Br 2.31
Br 0.5000 0.5000 0.5000  2 B 2.31

Results
D(E_F): 4.1 states/eV per cell
Energy relative to the elements, uncorrected: 996 meV/atom
Size of the total moment: 2.71 μB per cell
Electronic total energy: -25.7 eV per formula unit

=====

[7]
Material: Zn2CuBBr
Method: DFT, PBE-GGA
State: optimized geometry

a = 5.7450 Å, b = 5.7450 Å, c = 4.4340 Å
α = 90.00°, β = 90.00°, γ = 90.00°
Closest atoms and distances in Å follow each position.
Space group P4/mmm (No. 123)
Unique sites:
Zn 0.0000 0.5000 0.0000  2 Br 2.87
Cu 0.0000 0.0000 0.5000  2 Br 2.22
B 0.5000 0.5000 0.5000  8 Zn 3.63, 4 Cu 4.06
Br 0.0000 0.0000 0.0000  2 Cu 2.22

Results
ΔE to the lowest computed polymorph: 226.4 kJ/mol of formula units
D(E_F): 3.7 states/eV per cell
Energy relative to the elements, uncorrected: 1621 meV/atom
Size of the total moment: 0.56 μB per cell
Electronic total energy: -6.9 eV per formula unit

=====

[8]
Material: Zn2CuBBr
Method: DFT, PBE-GGA
State: optimized geometry

a = 4.6715 Å, b = 4.6715 Å, c = 5.1974 Å
α = 90.00°, β = 90.00°, γ = 90.00°
Closest atoms and distances in Å follow each position.
Space group P4/mmm (No. 123)
Unique sites:
Zn 0.0000 0.5000 0.0000  2 Cu 2.34
Cu 0.0000 0.0000 0.0000  4 Zn 2.34, 2 Br 2.60
B 0.5000 0.5000 0.5000  4 Br 3.30, 8 Zn 3.49
Br 0.0000 0.0000 0.5000  2 Cu 2.60

Results
ΔE to the lowest computed polymorph: 0.0 kJ/mol of formula units
D(E_F): 2.7 states/eV per cell
Energy relative to the elements, uncorrected: 1152 meV/atom
Size of the total moment: 0.42 μB per cell
Electronic total energy: -9.2 eV per formula unit